# Li2Ta2Cd PBE-GGA relaxed
data_Li2Ta2Cd
_chemical_formula_sum 'Li2 Ta2 Cd1'
_space_group_name_H-M_alt 'P 1'
_space_group_IT_number 1
_space_group_name_Hall 'P 1'
_cell_length_a 6.516
_cell_length_b 6.516
_cell_length_c 6.516
_cell_angle_alpha 145.57
_cell_angle_beta 145.57
_cell_angle_gamma 49.48
loop_
_atom_site_label
_atom_site_type_symbol
_atom_site_fract_x
_atom_site_fract_y
_atom_site_fract_z
_atom_site_occupancy
Li1 Li 0.085 0.085 0.000 1
Li2 Li 0.915 0.915 0.000 1
Ta1 Ta 0.250 0.750 0.500 1
Ta2 Ta 0.750 0.250 0.500 1
Cd1 Cd 0.500 0.500 0.000 1
# Offset from the most stable computed form   0.00 kJ per mole of atoms
# Density of states at the Fermi level   0.64 states/eV/atom
# ΔH_f (0 K)   0.567 eV/atom
# Magnetic moment   0.000 μB/atom
# Space-group type   No. 139

***

# PmPrPd PBE-GGA relaxed
data_PmPrPd
_chemical_formula_sum 'Pm3 Pr3 Pd3'
_space_group_name_H-M_alt 'P 1'
_space_group_IT_number 1
_space_group_name_Hall 'P 1'
_cell_length_a 4.957
_cell_length_b 7.887
_cell_length_c 7.887
_cell_angle_alpha 124.85
_cell_angle_beta 90.00
_cell_angle_gamma 90.00
loop_
_atom_site_label
_atom_site_type_symbol
_atom_site_fract_x
_atom_site_fract_y
_atom_site_fract_z
_atom_site_occupancy
Pm1 Pm 0.000 0.000 0.000 1
Pm2 Pm 0.000 0.192 0.590 1
Pm3 Pm 0.000 0.590 0.192 1
Pr1 Pr 0.500 0.325 0.325 1
Pr2 Pr 0.500 0.623 0.877 1
Pr3 Pr 0.500 0.877 0.623 1
Pd1 Pd 0.000 0.576 0.576 1
Pd2 Pd 0.500 0.308 0.952 1
Pd3 Pd 0.500 0.952 0.308 1
# Offset from the most stable computed form   0.00 kJ per mole of atoms
# Density of states at the Fermi level   1.15 states/eV/atom
# ΔH_f (0 K)   -0.468 eV/atom
# Magnetic moment   0.000 μB/atom
# Space-group type   No. 38